Computed, not measured: a geometry-optimized Cu2F3 structure at the PBE level of DFT.

For the spin magnetization, the calculation gives 0.201 μB per atom. For the density of states at the Fermi level, the calculation gives 0.991 states/eV/atom. As for the formation energy without anion corrections: -1.306 eV per atom. For the total energy, the calculation gives -4.0671 eV/atom. As for the symmetry: No. 167.

Cell lengths 5.3456, 5.3456, 5.7555 Å; angles 62.33, 62.33, 60.00 degrees
Each line ends with the local moment (μB).
Element x y z (fractional)
Cu: 0.8491 0.8491 0.4526  0.42
Cu: 0.3491 0.3491 0.9526  0.42
Cu: 0.1509 0.1509 0.5474  0.42
Cu: 0.6509 0.6509 0.0474  0.42
F: 0.0619 0.7500 0.7500  0.06
F: 0.7500 0.4381 0.7500  0.06
F: 0.4381 0.0619 0.7500  0.06
F: 0.2500 0.5619 0.2500  0.06
F: 0.5619 0.9381 0.2500  0.06
F: 0.9381 0.2500 0.2500  0.06